DFT (GGA-PBE) results for crystalline Rb2TaHSe4 at its relaxed geometry.

Output
raw total energy: -4.6589 eV/atom
magnetization: 0.000 μB per atom

Lattice parameters (Å, degrees): 9.3703 9.3077 12.6637 133.81 133.54 74.18
Closest atoms and distances in Å follow each position.
Atoms (fractional coordinates):
Rb (0.7227, 0.2142, 0.2224)  6 Se 3.45-3.74, 1 H 3.52
Rb (0.2938, 0.7840, 0.2840)  6 Se 3.45-3.75, 1 H 3.56
Rb (0.9878, 0.9756, 0.6266)  4 Se 3.33-3.37, 1 H 3.35
Rb (0.5297, 0.5198, 0.8801)  4 Se 3.33-3.37, 1 H 3.37
Ta (0.4633, 0.5157, 0.5000)  4 Se 2.39-2.66
Ta (0.9651, 0.0156, 0.9801)  4 Se 2.39-2.67
H (0.9200, 0.4163, 0.7295)  1 Se 1.49
H (0.0855, 0.5731, 0.7694)  1 Se 1.49
Se (0.2587, 0.7837, 0.9939)  1 H 1.49
Se (0.7152, 0.2380, 0.5033)  1 H 1.49
Se (0.2761, 0.7512, 0.5307)  1 Ta 2.39
Se (0.7571, 0.2312, 0.9764)  1 Ta 2.39
Se (0.7836, 0.7599, 0.9107)  2 Ta 2.57-2.66
Se (0.7412, 0.7179, 0.5883)  2 Ta 2.55-2.71
Se (0.2391, 0.2432, 0.3848)  2 Ta 2.55-2.67
Se (0.2612, 0.2608, 0.1199)  2 Ta 2.54-2.67